Entry 1:
Crystalline MoI3BrCl at its relaxed geometry, computed with GGA-PBE.

Cell lengths 6.9879, 7.4579, 10.0969 Å; angles 68.54, 88.72, 62.48 degrees
Atoms (fractional coordinates):
Mo (0.1061, 0.2826, 0.2162)
Mo (0.8939, 0.7174, 0.7838)
I (0.2545, 0.3110, 0.4405)
I (0.3132, 0.5147, 0.7501)
I (0.4890, 0.8878, 0.8489)
I (0.5110, 0.1122, 0.1511)
I (0.6868, 0.4853, 0.2499)
I (0.7455, 0.6890, 0.5595)
Br (0.0470, 0.6793, 0.0412)
Br (0.9530, 0.3207, 0.9588)
Cl (0.1306, 0.9419, 0.3205)
Cl (0.8694, 0.0581, 0.6795)

Results
ΔE to the lowest computed polymorph	0	meV per atom

---

Entry 2:
Crystalline MoI2Br2Cl at its relaxed geometry, computed with GGA-PBE.

Cell lengths 6.7663, 7.3798, 9.9558 Å; angles 107.41, 92.00, 114.09 degrees
Atoms (fractional coordinates):
Mo (0.1006, 0.2046, 0.2068)
Mo (0.8994, 0.7954, 0.7932)
I (0.0796, 0.8111, 0.5635)
I (0.4495, 0.5651, 0.3318)
I (0.5505, 0.4349, 0.6682)
I (0.9204, 0.1889, 0.4365)
Br (0.2353, 0.1703, 0.9537)
Br (0.2880, 0.9907, 0.2386)
Br (0.7120, 0.0093, 0.7614)
Br (0.7647, 0.8297, 0.0463)
Cl (0.1042, 0.6466, 0.8654)
Cl (0.8958, 0.3534, 0.1346)

Results
ΔE to the lowest computed polymorph	0	meV per atom

---

Entry 3:
Crystalline MoIBrCl3 at its relaxed geometry, computed with GGA-PBE.

Cell lengths 6.4397, 7.0132, 9.7664 Å; angles 106.99, 91.97, 114.93 degrees
Atoms (fractional coordinates):
Mo (0.1157, 0.2275, 0.2262)
Mo (0.8843, 0.7725, 0.7738)
I (0.2670, 0.1962, 0.9517)
I (0.7330, 0.8038, 0.0483)
Br (0.0688, 0.8059, 0.5631)
Br (0.9312, 0.1941, 0.4369)
Cl (0.1016, 0.6182, 0.8462)
Cl (0.2997, 0.0182, 0.2531)
Cl (0.4348, 0.5622, 0.3322)
Cl (0.5652, 0.4378, 0.6678)
Cl (0.7003, 0.9818, 0.7469)
Cl (0.8984, 0.3818, 0.1538)

Results
ΔE to the lowest computed polymorph	15	meV per atom

---

Entry 4:
Crystalline Sm4I2BrN2Cl2 at its relaxed geometry, computed with GGA-PBE.

Cell lengths 9.7642, 9.7642, 8.2060 Å; angles 101.31, 101.31, 22.08 degrees
Atoms (fractional coordinates):
Sm (0.9997, 0.9997, 0.1953)
Sm (0.0003, 0.0003, 0.8047)
Sm (0.3440, 0.3440, 0.9141)
Sm (0.6560, 0.6560, 0.0859)
I (0.1710, 0.1710, 0.7848)
I (0.8290, 0.8290, 0.2152)
Br (0.5000, 0.5000, 0.5000)
N (0.4632, 0.4632, 0.9814)
N (0.5368, 0.5368, 0.0186)
Cl (0.1473, 0.1473, 0.3413)
Cl (0.8527, 0.8527, 0.6587)

Results
total energy	-59.8	eV/f.u.

---

Entry 5:
Crystalline NbIBr2Cl2 at its relaxed geometry, computed with GGA-PBE.

Cell lengths 6.7522, 7.3498, 10.2251 Å; angles 108.75, 93.19, 113.95 degrees
Atoms (fractional coordinates):
Nb (0.1053, 0.2160, 0.2137)
Nb (0.8947, 0.7840, 0.7863)
I (0.0831, 0.8142, 0.5680)
I (0.9169, 0.1858, 0.4320)
Br (0.2314, 0.1738, 0.9592)
Br (0.4377, 0.5623, 0.3220)
Br (0.5623, 0.4377, 0.6780)
Br (0.7686, 0.8262, 0.0408)
Cl (0.1064, 0.6343, 0.8573)
Cl (0.2918, 0.0179, 0.2408)
Cl (0.7082, 0.9821, 0.7592)
Cl (0.8936, 0.3657, 0.1427)

Results
ΔE to the lowest computed polymorph	2	meV per atom

---

Entry 6:
Crystalline NbIBr2Cl2 at its relaxed geometry, computed with GGA-PBE.

Cell lengths 6.7464, 7.2617, 10.2498 Å; angles 107.99, 93.34, 112.52 degrees
Atoms (fractional coordinates):
Nb (0.1099, 0.2263, 0.2276)
Nb (0.8901, 0.7737, 0.7724)
I (0.2449, 0.1861, 0.9549)
I (0.7551, 0.8139, 0.0451)
Br (0.0691, 0.8160, 0.5758)
Br (0.4355, 0.5661, 0.3258)
Br (0.5645, 0.4339, 0.6742)
Br (0.9309, 0.1840, 0.4242)
Cl (0.1068, 0.6222, 0.8430)
Cl (0.2989, 0.0231, 0.2513)
Cl (0.7011, 0.9769, 0.7487)
Cl (0.8932, 0.3778, 0.1570)

Results
ΔE to the lowest computed polymorph	0	meV per atom

---

Entry 7:
Crystalline NbIBrCl2 at its relaxed geometry, computed with GGA-PBE.

Cell lengths 7.5543, 7.5543, 7.5543 Å; angles 121.36, 111.90, 96.12 degrees
Atoms (fractional coordinates):
Nb (0.0000, 0.2084, 0.2084)
Nb (0.0000, 0.7916, 0.7916)
I (0.1936, 0.6936, 0.5000)
I (0.8064, 0.3064, 0.5000)
Br (0.2069, 0.2069, 0.0000)
Br (0.7931, 0.7931, 0.0000)
Cl (0.2747, 0.2338, 0.5085)
Cl (0.2747, 0.7662, 0.0409)
Cl (0.7253, 0.2338, 0.9591)
Cl (0.7253, 0.7662, 0.4915)

Results
total energy	-21.9	eV/f.u.

---

Entry 8:
Crystalline NbI2Br2Cl at its relaxed geometry, computed with GGA-PBE.

Cell lengths 7.0111, 7.6209, 10.3618 Å; angles 108.50, 92.29, 113.43 degrees
Atoms (fractional coordinates):
Nb (0.1018, 0.2127, 0.2086)
Nb (0.8982, 0.7873, 0.7914)
I (0.0793, 0.8135, 0.5716)
I (0.4467, 0.5668, 0.3213)
I (0.5533, 0.4332, 0.6787)
I (0.9207, 0.1865, 0.4284)
Br (0.1175, 0.6345, 0.8636)
Br (0.2219, 0.1631, 0.9565)
Br (0.7781, 0.8369, 0.0435)
Br (0.8825, 0.3655, 0.1364)
Cl (0.2748, 0.0156, 0.2354)
Cl (0.7252, 0.9844, 0.7646)

Results
ΔE to the lowest computed polymorph	2	meV per atom